DFT (GGA-PBE) results for crystalline Pr3Au5O12 at its relaxed geometry.

Geometry as POSCAR:
```
Pr3Au5O12
1.0
-9.188 -6.888 -1.536
9.190 -4.563 -5.381
2.246 0.974 11.324
Pr Au O
12 20 48
Direct
0.750 0.375 0.125
0.875 0.750 0.125
0.375 0.750 0.625
0.250 0.125 0.375
0.875 0.125 0.250
0.375 0.625 0.250
0.625 0.375 0.750
0.125 0.875 0.750
0.750 0.875 0.625
0.625 0.250 0.375
0.125 0.250 0.875
0.250 0.625 0.875
0.125 0.375 0.250
0.000 0.500 0.000
0.000 0.000 0.000
0.375 0.250 0.125
0.500 0.000 0.500
0.500 0.500 0.000
0.125 0.750 0.375
0.750 0.125 0.875
0.750 0.625 0.375
0.375 0.125 0.750
0.625 0.875 0.250
0.500 0.500 0.500
0.500 0.000 0.000
0.000 0.000 0.500
0.250 0.375 0.625
0.250 0.875 0.125
0.000 0.500 0.500
0.875 0.250 0.625
0.625 0.750 0.875
0.875 0.625 0.750
0.704 0.129 0.042
0.339 0.542 0.413
0.958 0.371 0.296
0.542 0.204 0.129
0.574 0.704 0.661
0.958 0.587 0.161
0.339 0.796 0.426
0.087 0.926 0.129
0.587 0.958 0.661
0.704 0.574 0.161
0.796 0.458 0.371
0.839 0.913 0.042
0.129 0.704 0.542
0.371 0.413 0.074
0.074 0.913 0.371
0.426 0.129 0.587
0.074 0.161 0.204
0.458 0.661 0.087
0.839 0.926 0.296
0.129 0.426 0.087
0.371 0.958 0.796
0.587 0.629 0.426
0.913 0.839 0.542
0.796 0.339 0.926
0.413 0.371 0.574
0.087 0.161 0.458
0.204 0.661 0.074
0.161 0.074 0.704
0.629 0.042 0.204
0.871 0.574 0.913
0.542 0.339 0.913
0.574 0.871 0.413
0.926 0.839 0.796
0.926 0.087 0.629
0.871 0.296 0.458
0.161 0.087 0.958
0.629 0.587 0.926
0.413 0.042 0.339
0.296 0.426 0.839
0.204 0.542 0.629
0.913 0.074 0.871
0.661 0.204 0.574
0.458 0.796 0.871
0.042 0.413 0.839
0.426 0.296 0.339
0.042 0.629 0.704
0.661 0.458 0.587
0.296 0.871 0.958
```

formation energy without anion corrections: -1.068 eV per atom
final energy: -0.4100 Ry/atom
calculated volume: 299.3 Å³/f.u.
mass density: 8.87 g/cm³

DFT (GGA-PBE) results for crystalline Pr2AuO at its relaxed geometry.

Geometry as POSCAR:
```
Pr2AuO
1.0
3.530 0.000 0.000
0.000 3.605 0.000
-1.765 0.000 7.362
Pr Au O
2 1 1
Direct
0.935 0.500 0.871
0.234 0.000 0.469
0.556 0.000 0.112
0.775 0.500 0.549
```

energy above the most stable polymorph in this dataset: 0.005 eV/atom
formation energy without anion corrections: -1.557 eV per atom
final energy: -0.4414 Ry/atom
calculated volume: 93.7 Å³/f.u.
mass density: 8.77 g/cm³

DFT (GGA-PBE) results for crystalline Pr4Au2O at its relaxed geometry.

Geometry as POSCAR:
```
Pr4Au2O
1.0
4.920 0.000 0.000
0.000 4.920 0.000
-2.460 -2.460 7.644
Pr Au O
4 2 1
Direct
0.819 0.819 0.638
0.181 0.181 0.362
0.000 0.500 0.000
0.500 0.000 0.000
0.629 0.629 0.258
0.371 0.371 0.742
0.000 0.000 0.000
```

energy above the most stable polymorph in this dataset: 0.000 eV/atom
formation energy without anion corrections: -1.195 eV per atom
final energy: -0.4094 Ry/atom
calculated volume: 185.1 Å³/f.u.
mass density: 8.74 g/cm³

DFT (GGA-PBE) results for crystalline Pr5Au4O at its relaxed geometry.

Geometry as POSCAR:
```
Pr5Au4O
1.0
5.554 0.000 0.000
2.777 6.745 0.000
2.777 0.000 6.745
Pr Au O
5 4 1
Direct
0.881 0.358 0.882
0.239 0.882 0.642
0.763 0.118 0.358
0.121 0.642 0.118
0.501 0.000 0.000
0.443 0.406 0.711
0.848 0.711 0.594
0.154 0.289 0.406
0.560 0.594 0.289
0.001 0.000 0.000
```

formation energy without anion corrections: -1.021 eV per atom
final energy: -0.3835 Ry/atom
calculated volume: 252.7 Å³/f.u.
mass density: 9.91 g/cm³

DFT (GGA-PBE) results for crystalline Pr3AuO at its relaxed geometry.

Geometry as POSCAR:
```
Pr3AuO
1.0
3.867 0.000 0.000
-1.934 6.376 0.000
0.000 0.000 9.970
Pr Au O
6 2 2
Direct
0.059 0.118 0.750
0.941 0.882 0.250
0.372 0.744 0.556
0.628 0.256 0.444
0.628 0.256 0.056
0.372 0.744 0.944
0.246 0.492 0.250
0.754 0.508 0.750
0.000 0.000 0.500
0.000 0.000 0.000
```

energy above the most stable polymorph in this dataset: 0.000 eV/atom
formation energy without anion corrections: -1.405 eV per atom
final energy: -0.4351 Ry/atom
calculated volume: 122.9 Å³/f.u.
mass density: 8.59 g/cm³

DFT (GGA-PBE) results for crystalline Pr6Au3O at its relaxed geometry.

Geometry as POSCAR:
```
Pr6Au3O
1.0
6.727 0.000 -0.005
0.000 7.880 0.000
0.076 0.000 10.474
Pr Au O
12 6 2
Direct
0.679 0.156 0.942
0.644 0.212 0.567
0.655 0.456 0.269
0.345 0.544 0.731
0.356 0.788 0.433
0.321 0.844 0.058
0.179 0.344 0.442
0.144 0.288 0.067
0.155 0.044 0.769
0.845 0.956 0.231
0.856 0.712 0.933
0.821 0.656 0.558
0.573 0.890 0.734
0.500 0.500 0.000
0.427 0.110 0.266
0.073 0.610 0.234
0.000 0.000 0.500
0.927 0.390 0.766
0.500 0.500 0.500
0.000 0.000 0.000
```

formation energy without anion corrections: -0.952 eV per atom
final energy: -0.3894 Ry/atom
calculated volume: 277.6 Å³/f.u.
mass density: 8.69 g/cm³

DFT (GGA-PBE) results for crystalline Pr4Au2O at its relaxed geometry.

Geometry as POSCAR:
```
Pr4Au2O
1.0
3.895 0.000 0.000
0.000 7.340 0.000
0.000 0.000 13.217
Pr Au O
8 4 2
Direct
0.000 0.601 0.811
0.000 0.399 0.189
0.000 0.101 0.689
0.000 0.899 0.311
0.500 0.773 0.542
0.500 0.227 0.458
0.500 0.727 0.042
0.500 0.273 0.958
0.500 0.922 0.835
0.500 0.078 0.165
0.500 0.422 0.665
0.500 0.578 0.335
0.000 0.000 0.500
0.000 0.500 0.000
```

energy above the most stable polymorph in this dataset: 0.108 eV/atom
formation energy without anion corrections: -1.087 eV per atom
final energy: -0.4015 Ry/atom
calculated volume: 188.9 Å³/f.u.
mass density: 8.56 g/cm³

DFT (GGA-PBE) results for crystalline Pr3AuO6 at its relaxed geometry.

Geometry as POSCAR:
```
Pr3AuO6
1.0
5.761 0.000 0.000
0.000 7.535 0.133
0.000 -1.552 7.374
Pr Au O
6 2 12
Direct
0.468 0.907 0.671
0.968 0.671 0.907
0.414 0.396 0.604
0.914 0.604 0.396
0.968 0.093 0.329
0.468 0.329 0.093
0.964 0.131 0.869
0.464 0.869 0.131
0.196 0.670 0.642
0.696 0.642 0.670
0.175 0.403 0.894
0.675 0.894 0.403
0.270 0.030 0.970
0.660 0.217 0.783
0.160 0.783 0.217
0.770 0.970 0.030
0.175 0.106 0.597
0.675 0.597 0.106
0.196 0.358 0.330
0.696 0.330 0.358
```

formation energy without anion corrections: -2.421 eV per atom
final energy: -0.5261 Ry/atom
calculated volume: 160.6 Å³/f.u.
mass density: 7.40 g/cm³

What did the eighth record say?
DFT (GGA-PBE) results for crystalline Pr3AuO6 at its relaxed geometry.

Geometry as POSCAR:
```
Pr3AuO6
1.0
5.761 0.000 0.000
0.000 7.535 0.133
0.000 -1.552 7.374
Pr Au O
6 2 12
Direct
0.468 0.907 0.671
0.968 0.671 0.907
0.414 0.396 0.604
0.914 0.604 0.396
0.968 0.093 0.329
0.468 0.329 0.093
0.964 0.131 0.869
0.464 0.869 0.131
0.196 0.670 0.642
0.696 0.642 0.670
0.175 0.403 0.894
0.675 0.894 0.403
0.270 0.030 0.970
0.660 0.217 0.783
0.160 0.783 0.217
0.770 0.970 0.030
0.175 0.106 0.597
0.675 0.597 0.106
0.196 0.358 0.330
0.696 0.330 0.358
```

formation energy without anion corrections: -2.421 eV per atom
final energy: -0.5261 Ry/atom
calculated volume: 160.6 Å³/f.u.
mass density: 7.40 g/cm³

Among the records above, which one has the highest calculated volume? Pr3Au5O12

Copy entry 8 word for word.
DFT (GGA-PBE) results for crystalline Pr3AuO6 at its relaxed geometry.

Geometry as POSCAR:
```
Pr3AuO6
1.0
5.761 0.000 0.000
0.000 7.535 0.133
0.000 -1.552 7.374
Pr Au O
6 2 12
Direct
0.468 0.907 0.671
0.968 0.671 0.907
0.414 0.396 0.604
0.914 0.604 0.396
0.968 0.093 0.329
0.468 0.329 0.093
0.964 0.131 0.869
0.464 0.869 0.131
0.196 0.670 0.642
0.696 0.642 0.670
0.175 0.403 0.894
0.675 0.894 0.403
0.270 0.030 0.970
0.660 0.217 0.783
0.160 0.783 0.217
0.770 0.970 0.030
0.175 0.106 0.597
0.675 0.597 0.106
0.196 0.358 0.330
0.696 0.330 0.358
```

formation energy without anion corrections: -2.421 eV per atom
final energy: -0.5261 Ry/atom
calculated volume: 160.6 Å³/f.u.
mass density: 7.40 g/cm³